TcHgSe2 | GGA-PBE | optimized geometry

```
TcHgSe2
1.0
6.888 0.000 0.000
0.000 6.888 0.000
3.444 3.444 3.338
Se Hg Tc
4 2 2
Direct
0.226 0.726 0.000 Se
0.774 0.274 0.000 Se
0.274 0.226 0.000 Se
0.726 0.774 0.000 Se
0.750 0.250 0.500 Hg
0.250 0.750 0.500 Hg
0.250 0.250 0.500 Tc
0.750 0.750 0.500 Tc
```

Summary:
magnetization = 2.540 μB/f.u.
ρ = 9.57 Mg/m³
D(E_F) = 3.108 states/eV/f.u.
space-group type = I4/mcm (140)
uncorrected formation energy = 13.90 kcal/mol of atoms
volume = 158.38 Å³/cell